Record 1
{
  "formula": "CuF2",
  "functional": "PBE",
  "state": "optimized geometry",
  "cell": [[-2.6163, -1.2295, -3.5224], [4.5120, -1.3278, -2.8878], [-0.2288, -4.7625, 1.8323]],
  "species": ["Cu", "Cu", "Cu", "Cu", "F", "F", "F", "F", "F", "F", "F", "F"],
  "fractional_positions": [[0.0000, 0.3505, 0.2500], [0.5000, 0.8505, 0.2500], [0.5000, 0.1495, 0.7500], [0.0000, 0.6495, 0.7500], [0.2578, 0.1119, 0.0949], [0.2422, 0.6119, 0.0949], [0.7422, 0.1119, 0.4051], [0.7578, 0.6119, 0.4051], [0.2422, 0.3881, 0.5949], [0.2578, 0.8881, 0.5949], [0.7578, 0.3881, 0.9051], [0.7422, 0.8881, 0.9051]],
  "final_energy_ev_per_atom": -3.92,
  "sg": "Pbcn",
  "density_g_cm3": 5.25
}

Record 2
{
  "formula": "DySnSb",
  "functional": "PBE",
  "state": "optimized geometry",
  "cell": [[-2.1225, -4.6835, -0.0902], [-4.6123, -0.6916, -2.1673], [-0.3956, -2.5587, -4.4435]],
  "species": ["Dy", "Sb", "Sn"],
  "fractional_positions": [[0.0000, 0.0000, 0.0000], [0.2500, 0.2500, 0.2500], [0.7500, 0.7500, 0.7500]],
  "final_energy_ev_per_atom": -4.50,
  "sg": "F-43m",
  "density_g_cm3": 6.96,
  "relative_energy_mev_per_atom": 0
}

Record 3
{
  "formula": "GdHoAg2Se4",
  "functional": "PBE",
  "state": "optimized geometry",
  "cell": [[-6.0718, 2.8141, 0.9988], [-0.6625, 0.9125, -6.6717], [-1.8591, -3.8880, -0.3472]],
  "species": ["Ag", "Ag", "Gd", "Ho", "Se", "Se", "Se", "Se"],
  "fractional_positions": [[0.5000, 0.0000, 0.0000], [0.0000, 0.5000, 0.0000], [0.0000, 0.0000, 0.7962], [0.5000, 0.5000, 0.2038], [0.2041, 0.2041, 0.2833], [0.7959, 0.7959, 0.2833], [0.7001, 0.2999, 0.7167], [0.2999, 0.7001, 0.7167]],
  "final_energy_ev_per_atom": -4.83,
  "sg": "Cmm2",
  "density_g_cm3": 7.16
}

Record 4
{
  "formula": "B2AsAu2",
  "functional": "PBE",
  "state": "optimized geometry",
  "cell": [[4.7438, -1.8302, -0.1371], [0.7017, -3.2844, 3.8200], [-3.6162, 0.3701, -3.5578]],
  "species": ["As", "Au", "Au", "B", "B"],
  "fractional_positions": [[0.0000, 0.0000, 0.0000], [0.7500, 0.2500, 0.5000], [0.2500, 0.7500, 0.5000], [0.3997, 0.3997, 0.0000], [0.6003, 0.6003, 0.0000]],
  "final_energy_ev_per_atom": -4.19,
  "sg": "I4/mmm",
  "density_g_cm3": 11.47,
  "relative_energy_mev_per_atom": 0
}

Record 5
{
  "formula": "Cu3Ag",
  "functional": "PBE",
  "state": "optimized geometry",
  "cell": [[-0.2906, -2.4318, -1.1535], [3.3761, -0.8500, 0.9413], [-3.6543, -4.0467, 9.4522]],
  "species": ["Ag", "Ag", "Cu", "Cu", "Cu", "Cu", "Cu", "Cu"],
  "fractional_positions": [[0.0000, 0.0000, 0.1925], [0.5000, 0.5000, 0.8075], [0.5000, 0.5000, 0.0559], [0.5000, 0.5000, 0.3286], [0.0000, 0.0000, 0.4422], [0.5000, 0.5000, 0.5578], [0.0000, 0.0000, 0.6714], [0.0000, 0.0000, 0.9441]],
  "final_energy_ev_per_atom": -3.42,
  "sg": "Pmmn",
  "density_g_cm3": 9.31
}

Record 6
{
  "formula": "ZnBr2",
  "functional": "PBE",
  "state": "optimized geometry",
  "cell": [[6.4465, 0.0000, 0.0000], [-3.2233, 5.5828, 0.0000], [0.0000, 0.0000, 7.6910]],
  "species": ["Br", "Br", "Br", "Br", "Br", "Br", "Zn", "Zn", "Zn"],
  "fractional_positions": [[0.3573, 0.0351, 0.0727], [0.6427, 0.6778, 0.2607], [0.9649, 0.3222, 0.4060], [0.3222, 0.9649, 0.5940], [0.6778, 0.6427, 0.7393], [0.0351, 0.3573, 0.9273], [0.4444, 0.4444, 0.0000], [0.5556, 0.0000, 0.3333], [0.0000, 0.5556, 0.6667]],
  "final_energy_ev_per_atom": -2.38,
  "sg": "P3_121",
  "density_g_cm3": 4.05
}

Record 7
{
  "formula": "NaGdZnTe3",
  "functional": "PBE",
  "state": "optimized geometry",
  "cell": [[-2.7361, 8.3290, 0.6471], [-1.6023, -0.8417, 4.0582], [15.8938, 4.6585, 7.2414]],
  "species": ["Gd", "Gd", "Gd", "Gd", "Na", "Na", "Na", "Na", "Te", "Te", "Te", "Te", "Te", "Te", "Te", "Te", "Te", "Te", "Te", "Te", "Zn", "Zn", "Zn", "Zn"],
  "fractional_positions": [[0.7343, 0.2500, 0.0463], [0.2343, 0.2500, 0.4537], [0.7657, 0.7500, 0.5463], [0.2657, 0.7500, 0.9537], [0.4475, 0.7500, 0.2127], [0.9475, 0.7500, 0.2873], [0.0525, 0.2500, 0.7127], [0.5525, 0.2500, 0.7873], [0.3729, 0.2500, 0.0621], [0.0009, 0.7500, 0.0819], [0.7199, 0.2500, 0.2161], [0.2199, 0.2500, 0.2839], [0.5009, 0.7500, 0.4181], [0.8729, 0.2500, 0.4379], [0.1271, 0.7500, 0.5621], [0.4991, 0.2500, 0.5819], [0.7801, 0.7500, 0.7161], [0.2801, 0.7500, 0.7839], [0.9991, 0.2500, 0.9181], [0.6271, 0.7500, 0.9379], [0.1114, 0.2500, 0.1505], [0.6114, 0.2500, 0.3495], [0.3886, 0.7500, 0.6505], [0.8886, 0.7500, 0.8495]],
  "final_energy_ev_per_atom": -3.68,
  "sg": "Pnma",
  "density_g_cm3": 5.91,
  "relative_energy_mev_per_atom": 96
}

Record 8
{
  "formula": "TmLuPd",
  "functional": "PBE",
  "state": "optimized geometry",
  "cell": [[6.9528, 0.0000, 0.0000], [0.0000, 4.7796, 0.0000], [0.0000, 0.0000, 8.5933]],
  "species": ["Lu", "Lu", "Lu", "Lu", "Pd", "Pd", "Pd", "Pd", "Tm", "Tm", "Tm", "Tm"],
  "fractional_positions": [[0.3553, 0.2500, 0.0787], [0.8553, 0.2500, 0.4213], [0.1447, 0.7500, 0.5787], [0.6447, 0.7500, 0.9213], [0.7588, 0.2500, 0.0959], [0.2588, 0.2500, 0.4041], [0.7412, 0.7500, 0.5959], [0.2412, 0.7500, 0.9041], [0.0166, 0.7500, 0.1726], [0.5166, 0.7500, 0.3274], [0.4834, 0.2500, 0.6726], [0.9834, 0.2500, 0.8274]],
  "final_energy_ev_per_atom": -5.40,
  "sg": "Pnma",
  "density_g_cm3": 10.47,
  "relative_energy_mev_per_atom": 0
}

Record 9
{
  "formula": "Cd3Se2F2",
  "functional": "PBE",
  "state": "optimized geometry",
  "cell": [[6.2464, 3.2763, -1.6628], [-3.2901, 3.6373, 5.3350], [1.3334, -6.7854, 2.1672]],
  "species": ["Cd", "Cd", "Cd", "Cd", "Cd", "Cd", "F", "F", "F", "F", "Se", "Se", "Se", "Se"],
  "fractional_positions": [[0.7500, 0.8580, 0.1080], [0.6420, 0.3920, 0.2500], [0.2500, 0.6420, 0.3920], [0.3920, 0.2500, 0.6420], [0.8580, 0.1080, 0.7500], [0.1080, 0.7500, 0.8580], [0.4706, 0.5000, 0.0000], [0.0294, 0.0294, 0.0294], [0.5000, 0.0000, 0.4706], [0.0000, 0.4706, 0.5000], [0.9249, 0.5000, 0.0000], [0.0000, 0.9249, 0.5000], [0.5751, 0.5751, 0.5751], [0.5000, 0.0000, 0.9249]],
  "final_energy_ev_per_atom": -3.10,
  "sg": "I2_13",
  "density_g_cm3": 6.04
}

Record 10
{
  "formula": "Pr3ReI",
  "functional": "PBE",
  "state": "optimized geometry",
  "cell": [[5.7031, 0.0000, 0.0000], [0.0000, 5.7031, 0.0000], [0.0000, 0.0000, 5.7031]],
  "species": ["I", "Pr", "Pr", "Pr", "Re"],
  "fractional_positions": [[0.5000, 0.5000, 0.5000], [0.5000, 0.5000, 0.0000], [0.5000, 0.0000, 0.5000], [0.0000, 0.5000, 0.5000], [0.0000, 0.0000, 0.0000]],
  "final_energy_ev_per_atom": -4.54,
  "sg": "Pm-3m",
  "density_g_cm3": 6.59
}

Record 11
{
  "formula": "TbAlPt",
  "functional": "PBE",
  "state": "optimized geometry",
  "cell": [[6.9409, 0.0000, 0.0000], [0.0000, 4.4336, 0.0000], [0.0000, 0.0000, 7.7744]],
  "species": ["Al", "Al", "Al", "Al", "Pt", "Pt", "Pt", "Pt", "Tb", "Tb", "Tb", "Tb"],
  "fractional_positions": [[0.8528, 0.7500, 0.0658], [0.3528, 0.7500, 0.4342], [0.6472, 0.2500, 0.5658], [0.1472, 0.2500, 0.9342], [0.2248, 0.7500, 0.1135], [0.7248, 0.7500, 0.3865], [0.2752, 0.2500, 0.6135], [0.7752, 0.2500, 0.8865], [0.5284, 0.2500, 0.1826], [0.0284, 0.2500, 0.3174], [0.9716, 0.7500, 0.6826], [0.4716, 0.7500, 0.8174]],
  "final_energy_ev_per_atom": -5.96,
  "sg": "Pnma",
  "density_g_cm3": 10.58
}

Record 12
{
  "formula": "Sr2FeAsP",
  "functional": "PBE",
  "state": "optimized geometry",
  "cell": [[2.1061, -7.9107, 0.0000], [2.1061, 7.9107, 0.0000], [0.0000, 0.0000, 7.7019]],
  "species": ["As", "As", "Fe", "Fe", "P", "P", "Sr", "Sr", "Sr", "Sr"],
  "fractional_positions": [[0.5618, 0.4382, 0.0785], [0.4382, 0.5618, 0.5785], [0.5922, 0.4078, 0.4139], [0.4078, 0.5922, 0.9139], [0.1572, 0.8428, 0.4807], [0.8428, 0.1572, 0.9807], [0.2148, 0.7852, 0.1147], [0.9612, 0.0388, 0.2778], [0.7852, 0.2148, 0.6147], [0.0388, 0.9612, 0.7778]],
  "final_energy_ev_per_atom": -5.05,
  "sg": "Cmc2_1",
  "density_g_cm3": 4.36
}